[1]
# PBEsol Ta2PtAu, optimized geometry
# ΔE_f = -34.6 kJ per mole of atoms
data_Ta2PtAu
_chemical_formula_sum 'Ta2 Pt1 Au1'
_cell_length_a 3.353
_cell_length_b 3.353
_cell_length_c 5.958
_cell_angle_alpha 90.00
_cell_angle_beta 90.00
_cell_angle_gamma 90.00
_symmetry_space_group_name_H-M 'P 1'
_symmetry_Int_Tables_number 1
_symmetry_space_group_name_Hall 'P 1'
loop_
_atom_site_label
_atom_site_type_symbol
_atom_site_fract_x
_atom_site_fract_y
_atom_site_fract_z
_atom_site_occupancy
Au1 Au 0.000 0.000 0.499 1
Pt1 Pt 0.500 0.500 0.759 1
Ta1 Ta 0.000 0.000 0.978 1
Ta2 Ta 0.500 0.500 0.263 1


[2]
# PBEsol LaCrAsO, optimized geometry
# formation energy from raw total energies = -1.77 eV per atom
data_LaCrAsO
_chemical_formula_sum 'La2 Cr2 As2 O2'
_cell_length_a 4.056
_cell_length_b 4.056
_cell_length_c 8.653
_cell_angle_alpha 90.00
_cell_angle_beta 90.00
_cell_angle_gamma 90.00
_symmetry_space_group_name_H-M 'P 1'
_symmetry_Int_Tables_number 1
_symmetry_space_group_name_Hall 'P 1'
loop_
_atom_site_label
_atom_site_type_symbol
_atom_site_fract_x
_atom_site_fract_y
_atom_site_fract_z
_atom_site_occupancy
Cr1 Cr 0.500 0.500 0.500 1
Cr2 Cr 0.000 0.000 0.500 1
As1 As 0.500 0.000 0.348 1
As2 As 0.000 0.500 0.652 1
O1 O 0.500 0.500 0.000 1
O2 O 0.000 0.000 0.000 1
La1 La 0.500 0.000 0.861 1
La2 La 0.000 0.500 0.139 1


[3]
# PBEsol Bi2PbS4, optimized geometry
# formation energy from raw total energies = -0.44 eV per atom
data_Bi2PbS4
_chemical_formula_sum 'Bi8 Pb4 S16'
_cell_length_a 4.048
_cell_length_b 11.611
_cell_length_c 14.451
_cell_angle_alpha 90.00
_cell_angle_beta 90.00
_cell_angle_gamma 90.00
_symmetry_space_group_name_H-M 'P 1'
_symmetry_Int_Tables_number 1
_symmetry_space_group_name_Hall 'P 1'
loop_
_atom_site_label
_atom_site_type_symbol
_atom_site_fract_x
_atom_site_fract_y
_atom_site_fract_z
_atom_site_occupancy
Bi1 Bi 0.750 0.604 0.402 1
Bi2 Bi 0.250 0.396 0.598 1
Bi3 Bi 0.250 0.934 0.392 1
Bi4 Bi 0.750 0.104 0.098 1
Bi5 Bi 0.250 0.896 0.902 1
Bi6 Bi 0.750 0.566 0.892 1
Bi7 Bi 0.750 0.066 0.608 1
Bi8 Bi 0.250 0.434 0.108 1
Pb1 Pb 0.250 0.750 0.653 1
Pb2 Pb 0.750 0.750 0.153 1
Pb3 Pb 0.750 0.250 0.347 1
Pb4 Pb 0.250 0.250 0.847 1
S1 S 0.250 0.164 0.487 1
S2 S 0.750 0.764 0.800 1
S3 S 0.750 0.556 0.592 1
S4 S 0.250 0.664 0.013 1
S5 S 0.250 0.444 0.408 1
S6 S 0.250 0.236 0.200 1
S7 S 0.750 0.056 0.908 1
S8 S 0.750 0.836 0.513 1
S9 S 0.750 0.017 0.285 1
S10 S 0.750 0.517 0.215 1
S11 S 0.250 0.983 0.715 1
S12 S 0.750 0.336 0.987 1
S13 S 0.250 0.483 0.785 1
S14 S 0.250 0.736 0.300 1
S15 S 0.750 0.264 0.700 1
S16 S 0.250 0.944 0.092 1


no.,VASP energy (eV/atom)
1,-9.36
2,-8.26
3,-4.74